The following is a DFT calculation (GGA+U) of an optimized crystal structure of NaCrGaF6.

Values from the calculation:
**Crystal system**: trigonal
**Size of the total moment**: 4.000 μB/f.u.
**Electronic total energy**: -92.7 eV for the cell shown

Cell: 5.414 5.414 9.681 Å, 90.00 90.00 120.00°
Each line ends with the local moment (μB).
Element x y z (fractional)
F: 0.653 0.029 0.360  0.00
F: 0.625 0.971 0.860  0.00
F: 0.029 0.375 0.640  0.00
F: 0.625 0.653 0.640  0.00
F: 0.653 0.625 0.140  0.00
F: 0.971 0.625 0.360  0.00
F: 0.347 0.375 0.860  0.00
F: 0.029 0.653 0.860  0.00
F: 0.347 0.971 0.640  0.00
F: 0.971 0.347 0.140  0.00
F: 0.375 0.029 0.140  0.00
F: 0.375 0.347 0.360  0.00
Cr: 0.667 0.333 0.750  3.84
Cr: 0.333 0.667 0.250  3.84
Na: 0.000 0.000 0.000  0.00
Na: 0.000 0.000 0.500  0.00
Ga: 0.333 0.667 0.750  0.01
Ga: 0.667 0.333 0.250  0.01